# 1
First-principles (PBE-GGA) data for a relaxed structure of SrFeB6, as listed in Alexandria via LeMat-Bulk.

Cell lengths 4.559, 4.559, 5.702 Å; angles 90.33, 90.33, 63.70 degrees
Positions (direct):
Sr 0.000 0.000 0.000
Fe 0.500 0.500 0.500
B 0.743 0.743 0.350
B 0.578 0.912 0.644
B 0.912 0.578 0.644
B 0.088 0.422 0.356
B 0.422 0.088 0.356
B 0.257 0.257 0.650

Calculated values
Formation energy, meV per atom: 120
Space-group type: C2/m, No. 12



# 2
First-principles (PBE-GGA) data for a relaxed structure of SrFeB, as listed in Alexandria via LeMat-Bulk.

Cell lengths 3.730, 3.730, 8.738 Å; angles 90.00, 90.00, 90.00 degrees
Positions (direct):
B 0.500 0.000 0.582
B 0.000 0.500 0.418
Sr 0.500 0.000 0.214
Sr 0.000 0.500 0.786
Fe 0.500 0.500 0.500
Fe 0.000 0.000 0.500

Calculated values
Formation energy, meV per atom: -160
Space-group type: P4/nmm, No. 129



# 3
First-principles (PBE-GGA) data for a relaxed structure of SrFeB14, as listed in Alexandria via LeMat-Bulk.

Cell lengths 5.855, 7.411, 7.411 Å; angles 68.85, 66.73, 66.73 degrees
Positions (direct):
Sr 0.250 0.387 0.113
Sr 0.750 0.613 0.887
Fe 0.500 0.000 0.500
Fe 0.000 0.000 0.500
B 0.665 0.367 0.303
B 0.335 0.633 0.697
B 0.165 0.803 0.867
B 0.835 0.197 0.133
B 0.132 0.234 0.502
B 0.868 0.766 0.498
B 0.632 0.002 0.734
B 0.368 0.998 0.266
B 0.087 0.079 0.748
B 0.913 0.921 0.252
B 0.587 0.248 0.579
B 0.413 0.752 0.421
B 0.717 0.604 0.283
B 0.604 0.396 0.717
B 0.217 0.783 0.104
B 0.104 0.217 0.896
B 0.283 0.396 0.717
B 0.396 0.604 0.283
B 0.783 0.217 0.896
B 0.896 0.783 0.104
B 0.327 0.969 0.875
B 0.171 0.031 0.125
B 0.827 0.375 0.469
B 0.671 0.625 0.531
B 0.673 0.031 0.125
B 0.829 0.969 0.875
B 0.173 0.625 0.531
B 0.329 0.375 0.469

Calculated values
Formation energy, meV per atom: -111
Space-group type: Imma, No. 74



What is the formation energy in the second record?
-160 meV per atom



Which of these has the lowest formation energy?
SrFeB



Among the records above, which one has the lowest formation energy?
SrFeB



What is the formula in the first record?
SrFeB6